Record 1
Below is a crystal of K2WI relaxed with PBEsol, with properties calculated at the meta-GGA SCAN level.

Properties
- ρ: 4.357 g/cm³
- ΔE_f (raw): 0.94 eV/atom
- Symmetry: Fm-3m (225)

Unit cell a=5.9402 b=5.9402 c=5.9402 alpha=60.00 beta=60.00 gamma=60.00
With the nearest neighbours (Å) after each atom.
Fractional positions:
1 I 0.0000 0.0000 0.0000  8 K 3.64
2 K 0.2500 0.2500 0.2500  4 W 3.64, 4 I 3.64
3 K 0.7500 0.7500 0.7500  4 I 3.64, 4 W 3.64
4 W 0.5000 0.5000 0.5000  8 K 3.64

=====

Record 2
Below is a crystal of KY3I relaxed with PBEsol, with properties calculated at the meta-GGA SCAN level.

Properties
- ρ: 3.776 g/cm³
- ΔE_f (raw): 0.30 eV/atom
- Fermi-level density of states: 9.47 states/eV/cell
- Symmetry: Pm-3m (221)

Unit cell a=5.7518 b=5.7518 c=5.7518 alpha=90.00 beta=90.00 gamma=90.00
With the nearest neighbours (Å) after each atom.
Fractional positions:
1 I 0.0000 0.0000 0.0000  6 Y 2.88
2 Y 0.0000 0.5000 0.0000  2 I 2.88
3 Y 0.0000 0.0000 0.5000  2 I 2.88
4 Y 0.5000 0.0000 0.0000  2 I 2.88
5 K 0.5000 0.5000 0.5000  12 Y 4.07

=====

Record 3
Below is a crystal of K3YI relaxed with PBEsol, with properties calculated at the meta-GGA SCAN level.

Properties
- ρ: 1.947 g/cm³
- ΔE_f (raw): -0.03 eV/atom
- Fermi-level density of states: 4.47 states/eV/cell
- Symmetry: Pm-3m (221)

Unit cell a=6.5740 b=6.5740 c=6.5740 alpha=90.00 beta=90.00 gamma=90.00
With the nearest neighbours (Å) after each atom.
Fractional positions:
1 I 0.0000 0.0000 0.0000  6 K 3.29
2 Y 0.5000 0.5000 0.5000  12 K 4.65
3 K 0.0000 0.5000 0.0000  2 I 3.29
4 K 0.0000 0.0000 0.5000  2 I 3.29
5 K 0.5000 0.0000 0.0000  2 I 3.29

=====

Record 4
Below is a crystal of K2Zn2I relaxed with PBEsol, with properties calculated at the meta-GGA SCAN level.

Properties
- ρ: 2.937 g/cm³
- ΔE_f (raw): -0.15 eV/atom
- Fermi-level density of states: 3.28 states/eV/cell
- Symmetry: I4/mmm (139)

Unit cell a=6.1736 b=6.6244 c=6.1736 alpha=62.23 beta=90.00 gamma=117.77
With the nearest neighbours (Å) after each atom.
Fractional positions:
1 I 0.0000 0.0000 0.0000  2 Zn 3.75, 8 K 3.97
2 Zn 0.6238 0.2476 0.3762  1 Zn 2.47
3 Zn 0.3762 0.7524 0.6238  1 Zn 2.47
4 K 0.7500 0.5000 0.7500  4 Zn 3.33
5 K 0.2500 0.5000 0.2500  4 Zn 3.33

=====

Record 5
Below is a crystal of K2ZrI relaxed with PBEsol, with properties calculated at the meta-GGA SCAN level.

Properties
- ρ: 2.998 g/cm³
- ΔE_f (raw): 0.39 eV/atom
- Fermi-level density of states: 0.12 states/eV/cell
- Symmetry: Fm-3m (225)

Unit cell a=6.1458 b=6.1458 c=6.1458 alpha=60.00 beta=60.00 gamma=60.00
With the nearest neighbours (Å) after each atom.
Fractional positions:
1 I 0.5000 0.5000 0.5000  8 K 3.76
2 K 0.2500 0.2500 0.2500  4 Zr 3.76, 4 I 3.76
3 K 0.7500 0.7500 0.7500  4 I 3.76, 4 Zr 3.76
4 Zr 0.0000 0.0000 0.0000  8 K 3.76

=====

Record 6
Below is a crystal of KZr2I relaxed with PBEsol, with properties calculated at the meta-GGA SCAN level.

Properties
- ρ: 5.979 g/cm³
- ΔE_f (raw): 1.00 eV/atom
- Fermi-level density of states: 4.26 states/eV/cell
- Symmetry: Fm-3m (225)

Unit cell a=5.1533 b=5.1533 c=5.1533 alpha=60.00 beta=60.00 gamma=60.00
With the nearest neighbours (Å) after each atom.
Fractional positions:
1 I 0.5000 0.5000 0.5000  8 Zr 3.16
2 K 0.0000 0.0000 0.0000  8 Zr 3.16
3 Zr 0.2500 0.2500 0.2500  4 K 3.16, 4 I 3.16
4 Zr 0.7500 0.7500 0.7500  4 K 3.16, 4 I 3.16

=====

Copy entry 1 word for word.
Below is a crystal of K2WI relaxed with PBEsol, with properties calculated at the meta-GGA SCAN level.

Properties
- ρ: 4.357 g/cm³
- ΔE_f (raw): 0.94 eV/atom
- Symmetry: Fm-3m (225)

Unit cell a=5.9402 b=5.9402 c=5.9402 alpha=60.00 beta=60.00 gamma=60.00
With the nearest neighbours (Å) after each atom.
Fractional positions:
1 I 0.0000 0.0000 0.0000  8 K 3.64
2 K 0.2500 0.2500 0.2500  4 W 3.64, 4 I 3.64
3 K 0.7500 0.7500 0.7500  4 I 3.64, 4 W 3.64
4 W 0.5000 0.5000 0.5000  8 K 3.64